KCaLa2 | PBEsol | optimized geometry

abc: 3.5758 3.5758 12.7661
angles: 90.00 90.00 90.00
With the nearest neighbours (Å) after each atom.
Atoms (fractional coordinates):
Ca  0.5000  0.5000  0.0000  4 Ca 3.58, 8 La 3.83
K  0.5000  0.5000  0.5000  4 K 3.58
La  0.0000  0.0000  0.7743  4 La 3.58, 4 Ca 3.83
La  0.0000  0.0000  0.2257  4 La 3.58, 4 Ca 3.83

Output
- V (Å³/cell) = 163
- formation enthalpy at 0 K (meV per atom) = 313
- E_tot (eV/atom) = -3.18